Record 1
VASP calculation (PBE-GGA) on a relaxed structure of EuY3S.

Summary:
Magnetization, μB per formula unit: 8.53
Energy relative to the elements, uncorrected, kcal/mol of atoms: -14.48
E, eV per atom: -7.387

CIF file:
```
data_EuY3S
_chemical_formula_sum 'Eu1 Y3 S1'
_cell_length_a 5.391
_cell_length_b 5.391
_cell_length_c 5.391
_cell_angle_alpha 90.00
_cell_angle_beta 90.00
_cell_angle_gamma 90.00
_space_group_name_H-M_alt 'P m -3 m'
_space_group_IT_number 221
_space_group_name_Hall '-P 4 2 3'
loop_
_atom_site_label
_atom_site_type_symbol
_atom_site_fract_x
_atom_site_fract_y
_atom_site_fract_z
_atom_site_occupancy
Eu1 Eu 0.000 0.000 0.000 1
Y1 Y 0.000 0.500 0.500 1
S1 S 0.500 0.500 0.500 1
```

---

Record 2
VASP calculation (PBE-GGA) on a relaxed structure of SbBr2Cl.

Summary:
Magnetization, μB per formula unit: 0.00
Energy above the lowest structure with this stoichiometry, eV per formula unit: 2.41
Energy relative to the elements, uncorrected, kcal/mol of atoms: -2.09
E, eV per atom: -2.419

CIF file:
```
data_SbBr2Cl
_chemical_formula_sum 'Sb4 Br8 Cl4'
_cell_length_a 7.270
_cell_length_b 7.270
_cell_length_c 7.270
_cell_angle_alpha 90.00
_cell_angle_beta 90.00
_cell_angle_gamma 90.00
_space_group_name_H-M_alt 'F m -3 m'
_space_group_IT_number 225
_space_group_name_Hall '-F 4 2 3'
loop_
_atom_site_label
_atom_site_type_symbol
_atom_site_fract_x
_atom_site_fract_y
_atom_site_fract_z
_atom_site_occupancy
Sb1 Sb 0.000 0.000 0.000 1
Br1 Br 0.250 0.250 0.250 1
Cl1 Cl 0.000 0.000 0.500 1
```

---

Record 3
VASP calculation (PBE-GGA) on a relaxed structure of TaIn2Pb.

Summary:
E_form, meV/atom: 276
Magnetization, μB per formula unit: 0.00
E, eV per atom: -4.983

CIF file:
```
data_TaIn2Pb
_chemical_formula_sum 'Ta1 In2 Pb1'
_cell_length_a 3.069
_cell_length_b 3.069
_cell_length_c 10.666
_cell_angle_alpha 90.00
_cell_angle_beta 90.00
_cell_angle_gamma 90.00
_space_group_name_H-M_alt 'P 4 m m'
_space_group_IT_number 99
loop_
_space_group_symop_operation_xyz
'x,y,z'
'-y,x,z'
'-x,-y,z'
'y,-x,z'
'-x,y,z'
'y,x,z'
'x,-y,z'
'-y,-x,z'
loop_
_atom_site_label
_atom_site_type_symbol
_atom_site_fract_x
_atom_site_fract_y
_atom_site_fract_z
_atom_site_occupancy
Ta1 Ta 0.000 0.000 0.000 1
In1 In 0.000 0.000 0.450 1
In2 In 0.500 0.500 0.202 1
Pb1 Pb 0.500 0.500 0.774 1
```